Entry from Alexandria via LeMat-Bulk: an optimized crystal structure of PmGe2Pt2Rh (PBE).

The volume is 18.2 A^3/atom. For the energy, the calculation gives -6.38 eV per atom.

The structure belongs to space group P-3m1 (No. 164); the cell edges are 4.3336, 4.3336 and 6.6993 Å and the angles 90.00°, 90.00° and 120.00°. The distinct sites, in fractional coordinates, are Pm at (0.0000, 0.0000, 0.0000), Ge at (0.3333, 0.6667, 0.3130), Pt at (0.3333, 0.6667, 0.7099) and Rh at (0.0000, 0.0000, 0.5000).